*one*
A geometry-optimized TlZnTc2 structure. Source: Alexandria via LeMat-Bulk, functional PBE-GGA.

```
data_TlZnTc2
_chemical_formula_sum 'Tl2 Zn2 Tc4'
_space_group_name_H-M_alt 'I 4/m m m'
_space_group_IT_number 139
_space_group_name_Hall '-I 4 2'
_cell_length_a 3.957
_cell_length_b 3.957
_cell_length_c 8.499
_cell_angle_alpha 90.00
_cell_angle_beta 90.00
_cell_angle_gamma 90.00
loop_
_atom_site_label
_atom_site_fract_x
_atom_site_fract_y
_atom_site_fract_z
_atom_site_occupancy
Tl1 0.000 0.000 0.000 1
Zn1 0.000 0.000 0.500 1
Tc1 0.000 0.500 0.250 1
```



*two*
A geometry-optimized TlZnTc2 structure. Source: Alexandria via LeMat-Bulk, functional PBE-GGA.

```
data_TlZnTc2
_chemical_formula_sum 'Tl3 Zn3 Tc6'
_space_group_name_H-M_alt 'R -3 m'
_space_group_IT_number 166
_space_group_name_Hall '-R 3 2"'
_cell_length_a 2.9322
_cell_length_b 2.9322
_cell_length_c 26.7979
_cell_angle_alpha 90.00
_cell_angle_beta 90.00
_cell_angle_gamma 120.00
loop_
_atom_site_label
_atom_site_fract_x
_atom_site_fract_y
_atom_site_fract_z
_atom_site_occupancy
Tl1 0.0000 0.0000 0.0000 1
Zn1 0.0000 0.0000 0.5000 1
Tc1 0.0000 0.0000 0.2450 1
```



*three*
A geometry-optimized TlZnTc2 structure. Source: Alexandria via LeMat-Bulk, functional PBE-GGA.

```
data_TlZnTc2
_chemical_formula_sum 'Tl4 Zn4 Tc8'
_space_group_name_H-M_alt 'I -4 2 d'
_space_group_IT_number 122
_space_group_name_Hall 'I -4 2bw'
_cell_length_a 3.942
_cell_length_b 3.942
_cell_length_c 19.271
_cell_angle_alpha 90.00
_cell_angle_beta 90.00
_cell_angle_gamma 90.00
loop_
_atom_site_label
_atom_site_fract_x
_atom_site_fract_y
_atom_site_fract_z
_atom_site_occupancy
Tl1 0.000 0.000 0.000 1
Zn1 0.000 0.000 0.500 1
Tc1 0.170 0.250 0.625 1
```



Most stable structure among those shown: *two*. Next: +0.036 eV/atom.